Record 1
Compound: Mn2Ge3Pd8
Source: Alexandria via LeMat-Bulk
Functional: PBE-GGA
Structure: optimized geometry

Values from the calculation:
The formation energy is -23 meV per atom. As for the calculated density: 8824 kg/m³.

```
13
Lattice="2.6412 1.5249 9.1833 -2.6412 1.5249 9.1833 0.0000 -3.0498 9.1833" Properties=species:S:1:pos:R:3 pbc="T T T"
Mn 0.0000 0.0000 3.6009
Mn 0.0000 0.0000 23.9489
Ge 0.0000 0.0000 8.5117
Ge 0.0000 0.0000 13.7749
Ge 0.0000 0.0000 19.0381
Pd 0.0000 -1.5280 10.6119
Pd -1.3233 0.7640 10.6119
Pd 0.0000 0.0000 6.0935
Pd -1.3233 -0.7640 16.9379
Pd 1.3233 0.7640 10.6119
Pd 0.0000 0.0000 21.4563
Pd 1.3233 -0.7640 16.9379
Pd 0.0000 1.5280 16.9379
```

Record 2
Compound: BaTmIO6
Source: Alexandria via LeMat-Bulk
Functional: PBE-GGA
Structure: optimized geometry

Values from the calculation:
As for the calculated density: 5698 kg/m³. For the formation energy (no corrections), the calculation gives -1.93 eV per atom.

```
9
Lattice="5.6153 0.0000 0.0000 -2.8077 4.8630 0.0000 0.0000 0.0000 5.6474" Properties=species:S:1:pos:R:3 pbc="T T T"
Ba 0.0000 0.0000 0.0000
Tm 0.0000 3.2420 2.8237
I 2.8077 1.6210 2.8237
O 2.1306 0.2069 3.9199
O 1.2445 1.7417 1.7275
O 3.4847 0.2069 1.7275
O 1.9215 2.9144 3.9199
O 4.3708 1.7417 3.9199
O 3.6938 2.9144 1.7275
```

Record 3
Compound: MnNb2P2
Source: Alexandria via LeMat-Bulk
Functional: PBE-GGA
Structure: optimized geometry

Values from the calculation:
The value obtained for the energy above the most stable polymorph in this dataset is 699 meV/atom. The formation energy is 81 meV per atom. As for the calculated density: 5980 kg/m³.

```
5
Lattice="-2.0911 2.0911 4.8058 2.0911 -2.0911 4.8058 2.0911 2.0911 -4.8058" Properties=species:S:1:pos:R:3 pbc="T T T"
Mn 0.0000 0.0000 0.0000
Nb 2.0911 0.0000 2.4029
Nb 0.0000 2.0911 2.4029
P 0.0000 0.0000 3.7412
P 0.0000 0.0000 5.8703
```

Record 4
Compound: DyHo2Ru
Source: Alexandria via LeMat-Bulk
Functional: PBE-GGA
Structure: optimized geometry

Values from the calculation:
The value obtained for the energy above the most stable polymorph in this dataset is 0 meV/atom. The formation energy is -336 meV per atom. As for the calculated density: 9403 kg/m³.

```
16
Lattice="7.2888 0.0000 0.0000 0.0000 9.1342 0.0000 0.0000 0.0000 6.2961" Properties=species:S:1:pos:R:3 pbc="T T T"
Dy 0.2961 2.2836 0.8316
Dy 3.3483 6.8507 3.9797
Dy 3.9405 2.2836 2.3165
Dy 6.9927 6.8507 5.4645
Ho 1.2871 0.5859 4.2084
Ho 1.2871 3.9812 4.2084
Ho 2.3573 5.1531 1.0603
Ho 2.3573 8.5483 1.0603
Ho 4.9316 0.5859 5.2358
Ho 4.9316 3.9812 5.2358
Ho 6.0017 5.1531 2.0877
Ho 6.0017 8.5483 2.0877
Ru 0.8376 6.8507 2.8981
Ru 2.8068 2.2836 6.0461
Ru 4.4820 6.8507 0.2500
Ru 6.4512 2.2836 3.3981
```

Record 5
Compound: K2BF
Source: Alexandria via LeMat-Bulk
Functional: PBE-GGA
Structure: optimized geometry

Values from the calculation:
The value obtained for the energy above the most stable polymorph in this dataset is 187 meV/atom. As for the calculated density: 1880 kg/m³. For the formation energy (no corrections), the calculation gives -0.06 eV per atom.

```
4
Lattice="0.0000 3.6265 3.6265 3.6265 0.0000 3.6265 3.6265 3.6265 0.0000" Properties=species:S:1:pos:R:3 pbc="T T T"
K 1.8132 1.8132 1.8132
K 5.4397 5.4397 5.4397
B 0.0000 0.0000 0.0000
F 3.6265 3.6265 3.6265
```

Record 6
Compound: Ca2HgO
Source: Alexandria via LeMat-Bulk
Functional: PBE-GGA
Structure: optimized geometry

Values from the calculation:
The value obtained for the energy above the most stable polymorph in this dataset is 26 meV/atom. As for the calculated density: 5783 kg/m³. For the formation energy (no corrections), the calculation gives -1.54 eV per atom.

```
4
Lattice="1.7783 1.0267 7.7780 -1.7783 1.0267 7.7780 0.0000 -2.0534 7.7780" Properties=species:S:1:pos:R:3 pbc="T T T"
Ca 0.0000 0.0000 5.2672
Ca 0.0000 0.0000 18.0669
Hg 0.0000 0.0000 0.0000
O 0.0000 0.0000 11.6671
```

Record 7
Compound: Hf2Al2Pd
Source: Alexandria via LeMat-Bulk
Functional: PBE-GGA
Structure: optimized geometry

Values from the calculation:
The value obtained for the energy above the most stable polymorph in this dataset is 0 meV/atom. The formation energy is -578 meV per atom. As for the calculated density: 9457 kg/m³.

```
10
Lattice="6.4822 0.0000 0.0000 0.0000 6.4822 0.0000 0.0000 0.0000 4.3240" Properties=species:S:1:pos:R:3 pbc="T T T"
Hf 1.0840 2.1570 0.0000
Hf 2.1570 5.3981 0.0000
Hf 4.3251 1.0840 0.0000
Hf 5.3981 4.3251 0.0000
Al 0.9073 4.1484 2.1620
Al 2.3338 0.9073 2.1620
Al 4.1484 5.5748 2.1620
Al 5.5748 2.3338 2.1620
Pd 0.0000 0.0000 2.1620
Pd 3.2411 3.2411 2.1620
```

Record 8
Compound: Ho2AsS
Source: Alexandria via LeMat-Bulk
Functional: PBE-GGA
Structure: optimized geometry

Values from the calculation:
The value obtained for the energy above the most stable polymorph in this dataset is 0 meV/atom. As for the calculated density: 8011 kg/m³. For the formation energy (no corrections), the calculation gives -1.78 eV per atom.

```
8
Lattice="-2.8255 2.8255 5.6711 2.8255 -2.8255 5.6711 2.8255 2.8255 -5.6711" Properties=species:S:1:pos:R:3 pbc="T T T"
Ho 2.8255 1.4128 -1.4168
Ho 0.0000 1.4128 1.4188
Ho 2.8255 1.4128 4.2523
Ho 0.0000 1.4128 7.0879
As 2.8255 1.4128 1.4178
As 0.0000 1.4128 4.2534
S 2.8255 -1.4128 4.2534
S 0.0000 4.2383 1.4178
```

Record 9
Compound: Sm6TmMg
Source: Alexandria via LeMat-Bulk
Functional: PBE-GGA
Structure: optimized geometry

Values from the calculation:
The value obtained for the energy above the most stable polymorph in this dataset is 0 meV/atom. The formation energy is 9 meV per atom. As for the calculated density: 7129 kg/m³.

```
8
Lattice="5.0197 0.0000 0.0000 0.0000 5.0197 0.0000 0.0000 0.0000 10.1261" Properties=species:S:1:pos:R:3 pbc="T T T"
Sm 0.0000 0.0000 0.0000
Sm 0.0000 0.0000 5.0631
Sm 0.0000 2.5099 2.5123
Sm 0.0000 2.5099 7.6139
Sm 2.5099 0.0000 2.5123
Sm 2.5099 0.0000 7.6139
Tm 2.5099 2.5099 5.0631
Mg 2.5099 2.5099 0.0000
```

Record 10
Compound: In3SiSe6
Source: Alexandria via LeMat-Bulk
Functional: PBE-GGA
Structure: optimized geometry

Values from the calculation:
As for the calculated density: 5281 kg/m³. For the formation energy (no corrections), the calculation gives -0.35 eV per atom.

```
20
Lattice="5.5419 -7.2149 0.0000 5.5419 7.2149 0.0000 0.0000 0.0000 6.6549" Properties=species:S:1:pos:R:3 pbc="T T T"
In 5.5419 6.0457 3.3275
In 3.3884 1.3737 2.3091
In 3.3884 -1.3737 5.6365
In 7.6955 1.3737 2.3091
In 7.6955 -1.3737 5.6365
In 5.5419 -6.0457 0.0000
Si 5.5419 2.8894 5.2056
Si 5.5419 -2.8894 1.8782
Se 3.7635 3.9959 4.2111
Se 1.7859 0.6518 4.4944
Se 1.7859 -0.6518 1.1669
Se 5.5419 2.8373 0.8360
Se 7.3203 3.9959 4.2111
Se 5.5419 0.8135 4.1601
Se 5.5419 -0.8135 0.8326
Se 3.7635 -3.9959 0.8836
Se 5.5419 -2.8373 4.1634
Se 9.2979 0.6518 4.4944
Se 9.2979 -0.6518 1.1669
Se 7.3203 -3.9959 0.8836
```

Record 11
Compound: NaAcBi2
Source: Alexandria via LeMat-Bulk
Functional: PBE-GGA
Structure: optimized geometry

Values from the calculation:
The value obtained for the energy above the most stable polymorph in this dataset is 131 meV/atom. The formation energy is -500 meV per atom. As for the calculated density: 8182 kg/m³.

```
4
Lattice="0.0000 4.0772 4.0772 4.0772 0.0000 4.0772 4.0772 4.0772 0.0000" Properties=species:S:1:pos:R:3 pbc="T T T"
Na 0.0000 0.0000 0.0000
Ac 4.0772 4.0772 4.0772
Bi 2.0386 2.0386 2.0386
Bi 6.1158 6.1158 6.1158
```

Record 12
Compound: CoSb2Pb
Source: Alexandria via LeMat-Bulk
Functional: PBE-GGA
Structure: optimized geometry

Values from the calculation:
As for the calculated density: 8600 kg/m³. For the formation energy (no corrections), the calculation gives 0.09 eV per atom.

```
4
Lattice="4.3694 -1.7655 0.0000 4.3694 1.7655 0.0000 -2.2482 0.0000 6.3780" Properties=species:S:1:pos:R:3 pbc="T T T"
Co 0.0000 0.0000 0.0000
Sb 4.0500 0.0000 1.8541
Sb 3.9638 0.0000 6.0829
Pb 1.5930 0.0000 3.8857
```

Record 13
Compound: AlCdOs2
Source: Alexandria via LeMat-Bulk
Functional: PBE-GGA
Structure: optimized geometry

Values from the calculation:
The value obtained for the energy above the most stable polymorph in this dataset is 189 meV/atom. The formation energy is 288 meV per atom. As for the calculated density: 13732 kg/m³.

```
4
Lattice="1.4622 -2.3653 0.0000 1.4622 2.3653 0.0000 0.0000 0.0000 9.0880" Properties=species:S:1:pos:R:3 pbc="T T T"
Al 0.0000 0.0000 0.0000
Cd 0.0000 0.0000 4.5440
Os 1.4622 0.0000 2.0361
Os 1.4622 0.0000 7.0519
```

Record 14
Compound: CuRh2Br
Source: Alexandria via LeMat-Bulk
Functional: PBE-GGA
Structure: optimized geometry

Values from the calculation:
The value obtained for the energy above the most stable polymorph in this dataset is 0 meV/atom. As for the calculated density: 8568 kg/m³. For the formation energy (no corrections), the calculation gives 0.33 eV per atom.

```
4
Lattice="2.9931 0.0000 0.0000 0.0000 3.1619 0.0000 0.0000 0.0000 7.1527" Properties=species:S:1:pos:R:3 pbc="T T T"
Cu 0.0000 0.0000 0.0000
Rh 0.0000 0.0000 4.2054
Rh 1.4966 1.5809 5.6600
Br 0.0000 1.5809 2.1203
```

Record 15
Compound: CaNb2BrN
Source: Alexandria via LeMat-Bulk
Functional: PBE-GGA
Structure: optimized geometry

Values from the calculation:
As for the calculated density: 4436 kg/m³. For the formation energy (no corrections), the calculation gives 2.08 eV per atom.

```
5
Lattice="5.3589 0.0000 0.0000 0.0000 5.3589 0.0000 0.0000 0.0000 4.1682" Properties=species:S:1:pos:R:3 pbc="T T T"
Ca 0.0000 0.0000 0.0000
Nb 0.0000 2.6795 0.0000
Nb 2.6795 0.0000 0.0000
Br 2.6795 2.6795 2.0841
N 0.0000 0.0000 2.0841
```

Record 16
Compound: CeLuAlSn
Source: Alexandria via LeMat-Bulk
Functional: PBE-GGA
Structure: optimized geometry

Values from the calculation:
The formation energy is -394 meV per atom. As for the calculated density: 7533 kg/m³.

```
4
Lattice="0.0000 3.7033 3.7033 3.7033 0.0000 3.7033 3.7033 3.7033 0.0000" Properties=species:S:1:pos:R:3 pbc="T T T"
Ce 0.0000 0.0000 0.0000
Lu 3.7033 3.7033 3.7033
Al 1.8516 1.8516 1.8516
Sn 5.5549 5.5549 5.5549
```

Record 17
Compound: MgCSCl2
Source: Alexandria via LeMat-Bulk
Functional: PBE-GGA
Structure: optimized geometry

Values from the calculation:
The value obtained for the energy above the most stable polymorph in this dataset is 0 meV/atom. As for the calculated density: 2739 kg/m³. For the formation energy (no corrections), the calculation gives 0.52 eV per atom.

```
5
Lattice="4.4827 0.0000 0.0000 0.0000 4.4827 0.0000 0.0000 0.0000 4.2017" Properties=species:S:1:pos:R:3 pbc="T T T"
Mg 0.0000 0.0000 0.0000
C 2.2413 2.2413 2.1008
S 2.2413 2.2413 0.0000
Cl 0.0000 2.2413 2.1008
Cl 2.2413 0.0000 2.1008
```

Record 18
Compound: Nd5SmTm2
Source: Alexandria via LeMat-Bulk
Functional: PBE-GGA
Structure: optimized geometry

Values from the calculation:
The value obtained for the energy above the most stable polymorph in this dataset is 220 meV/atom. The formation energy is 233 meV per atom. As for the calculated density: 7215 kg/m³.

```
16
Lattice="6.5117 -7.9931 0.0000 6.5117 7.9931 0.0000 -2.7564 0.0000 5.3476" Properties=species:S:1:pos:R:3 pbc="T T T"
Nd -0.1339 2.3326 5.0175
Nd 4.4444 4.8181 4.0107
Nd 2.7574 0.8610 3.1325
Nd 1.2443 -2.3326 2.3438
Nd 4.1357 -0.8610 0.4587
Nd 6.1313 0.8610 4.8889
Nd 9.0227 2.3326 3.0038
Nd 7.5095 -0.8610 2.2151
Nd 5.8226 -4.8181 1.3369
Nd 10.4009 -2.3326 0.3300
Sm 5.8226 2.5058 1.3369
Sm 4.4444 -2.5058 4.0107
Tm 0.0000 0.0000 0.0000
Tm -1.3782 0.0000 2.6738
Tm 1.8776 3.9966 2.6738
Tm 3.2558 -3.9966 0.0000
```